No. 1
VASP calculation (meta-GGA SCAN) on a crystal of Sm6MgGe2S14 relaxed with PBEsol.

Computed properties:
Uncorrected formation energy   -1.826 eV/atom
Calculated volume   487.7 Å³ per cell
DOS(E_F)   0.0 states/eV per cell
Total magnetization   0.000 μB per cell

Unit cell a=9.973 b=9.973 c=5.662 alpha=90.00 beta=90.00 gamma=120.00
Atoms (fractional coordinates):
Sm1 0.024 0.462 0.000
Sm2 0.309 0.205 0.507
Sm3 0.437 0.976 0.000
Sm4 0.538 0.563 0.000
Sm5 0.795 0.105 0.507
Sm6 0.895 0.691 0.507
Mg1 0.667 0.333 0.238
Ge1 0.000 0.000 0.090
Ge2 0.333 0.667 0.581
S1 0.000 0.000 0.705
S2 0.084 0.234 0.246
S3 0.150 0.916 0.246
S4 0.184 0.750 0.740
S5 0.250 0.434 0.740
S6 0.333 0.667 0.197
S7 0.415 0.243 0.995
S8 0.508 0.082 0.477
S9 0.566 0.816 0.740
S10 0.574 0.492 0.477
S11 0.757 0.172 0.995
S12 0.766 0.850 0.246
S13 0.828 0.585 0.995
S14 0.918 0.426 0.477

No. 2
VASP calculation (meta-GGA SCAN) on a crystal of Li4FeOF4 relaxed with PBEsol.

Computed properties:
Uncorrected formation energy   -2.698 eV/atom
Calculated volume   86.7 Å³ per cell
Total magnetization   4.000 μB per cell

Unit cell a=5.115 b=5.115 c=5.115 alpha=98.22 beta=98.22 gamma=135.56
Atoms (fractional coordinates):
Li1 0.093 0.293 0.386
Li2 0.293 0.907 0.200
Li3 0.707 0.093 0.800
Li4 0.907 0.707 0.614
Fe1 0.500 0.500 0.000
O1 0.000 0.000 0.000
F1 0.188 0.605 0.793
F2 0.395 0.188 0.583
F3 0.605 0.812 0.417
F4 0.812 0.395 0.207

No. 3
VASP calculation (meta-GGA SCAN) on a crystal of SrZr2Ru relaxed with PBEsol.

Computed properties:
Formation enthalpy at 0 K   0.512 eV/atom
Calculated volume   85.8 Å³ per cell
Energy above the lowest structure with this stoichiometry   0.516 eV per atom
DOS(E_F)   3.8 states/eV per cell
Total magnetization   2.248 μB per cell

Unit cell a=4.950 b=4.950 c=4.950 alpha=60.00 beta=60.00 gamma=60.00
Atoms (fractional coordinates):
Sr1 0.000 0.000 0.000
Zr1 0.500 0.500 0.500
Zr2 0.750 0.750 0.750
Ru1 0.250 0.250 0.250